Density functional theory data (PBEsol) for TcW3Br after structural relaxation.

The structure belongs to space group Pm-3m (No. 221); the cell edges are 4.488, 4.488 and 4.488 Å and the angles 90.00°, 90.00° and 90.00°. Symmetry generates all atoms from Tc at (0.000, 0.000, 0.000), W at (0.000, 0.500, 0.500) and Br at (0.500, 0.500, 0.500).

The volume is 90.4 Å³ per cell. As for the total energy: -42.74 eV for the cell shown. For the uncorrected formation energy, the calculation gives 2363.6 meV per atom.



Density functional theory data (PBEsol) for RuPtBr2 after structural relaxation.

The structure belongs to space group Amm2 (No. 38); the cell edges are 3.808, 5.011 and 8.219 Å and the angles 90.00°, 90.00° and 90.00°. Symmetry generates all atoms from Ru at (0.000, 0.000, 0.000), Pt at (0.500, 0.000, 0.201), Br at (0.000, 0.000, 0.438) and Br at (0.500, 0.000, 0.795).

The volume is 156.8 Å³ per cell. As for the total energy: -38.38 eV for the cell shown. For the uncorrected formation energy, the calculation gives 421.1 meV per atom. The excess energy over the best structure of this formula in the dataset comes out at 0.00 eV per formula unit.



Density functional theory data (PBEsol) for TlReMo2 after structural relaxation.

The structure belongs to space group Pmmm (No. 47); the cell edges are 2.915, 4.006 and 5.710 Å and the angles 90.00°, 90.00° and 90.00°. Symmetry generates all atoms from Tl at (0.000, 0.000, 0.000), Re at (0.000, 0.000, 0.500) and Mo at (0.500, 0.500, 0.289).

The volume is 66.7 Å³ per cell. As for the total energy: -37.71 eV for the cell shown. The energy of formation is 1.78 eV per formula unit. The excess energy over the best structure of this formula in the dataset comes out at 0.00 eV per formula unit.



Density functional theory data (PBEsol) for ScRuPb2 after structural relaxation.

The structure belongs to space group F-43m (No. 216); the cell edges are 6.958, 6.958 and 6.958 Å and the angles 90.00°, 90.00° and 90.00°. Symmetry generates all atoms from Sc at (0.000, 0.000, 0.000), Ru at (0.250, 0.250, 0.750), Pb at (0.000, 0.000, 0.500) and Pb at (0.250, 0.250, 0.250).

The volume is 336.8 Å³ per cell. As for the total energy: -96.17 eV for the cell shown. The energy of formation is 0.73 eV per formula unit. The excess energy over the best structure of this formula in the dataset comes out at 0.49 eV per formula unit.



Density functional theory data (PBEsol) for LiW2Se after structural relaxation.

The structure belongs to space group P4mm (No. 99); the cell edges are 3.263, 3.263 and 5.701 Å and the angles 90.00°, 90.00° and 90.00°. Symmetry generates all atoms from Li at (0.000, 0.000, 0.000), W at (0.000, 0.000, 0.506), W at (0.500, 0.500, 0.727) and Se at (0.500, 0.500, 0.189).

The volume is 60.7 Å³ per cell. As for the total energy: -32.75 eV for the cell shown. For the uncorrected formation energy, the calculation gives 170.4 meV per atom.



Density functional theory data (PBEsol) for InCo2Pt after structural relaxation.

The structure belongs to space group F-43m (No. 216); the cell edges are 6.078, 6.078 and 6.078 Å and the angles 90.00°, 90.00° and 90.00°. Symmetry generates all atoms from In at (0.000, 0.000, 0.000), Co at (0.000, 0.000, 0.500), Co at (0.250, 0.250, 0.250) and Pt at (0.250, 0.250, 0.750).

The volume is 224.6 Å³ per cell. As for the total energy: -100.27 eV for the cell shown. The energy of formation is 0.35 eV per formula unit.